# K2Mg2MoO6

K2Mg2MoO6 after structural relaxation (PBE+U, Alexandria).

Computed properties:
Crystal system: monoclinic
Total energy, eV for the cell shown: -129.3

```
data_K2Mg2MoO6
_symmetry_space_group_name_H-M 'C 1 2/m 1'
_symmetry_Int_Tables_number 12
_cell_length_a 5.3864
_cell_length_b 9.2159
_cell_length_c 6.5413
_cell_angle_alpha 90.00
_cell_angle_beta 107.30
_cell_angle_gamma 90.00
loop_
_symmetry_equiv_pos_as_xyz
'x,y,z'
'-x,-y,-z'
'-x,y,-z'
'x,-y,z'
'x+1/2,y+1/2,z'
'-x+1/2,-y+1/2,-z'
'-x+1/2,y+1/2,-z'
'x+1/2,-y+1/2,z'
loop_
_atom_site_label
_atom_site_type_symbol
_atom_site_fract_x
_atom_site_fract_y
_atom_site_fract_z
_atom_site_occupancy
K1 K 0.0000 0.1718 0.0000 1
Mg1 Mg 0.0000 0.3356 0.5000 1
Mo1 Mo 0.0000 0.0000 0.5000 1
O1 O 0.2130 0.1559 0.6704 1
O2 O 0.2470 0.0000 0.3312 1
```